NpTe2Pd | GGA-PBE | optimized geometry

Results
The electronic total energy comes out at -6.645 eV per atom. The symmetry is Pnma. The uncorrected formation energy is -2.163 eV/f.u.

Structure (POSCAR):
```
NpTe2Pd
1.0
4.093 0.000 0.000
0.000 6.754 0.000
0.000 0.000 14.500
Te Np Pd
8 4 4
direct
0.250 0.159 0.299 Te
0.750 0.341 0.799 Te
0.750 0.263 0.537 Te
0.250 0.737 0.463 Te
0.750 0.763 0.963 Te
0.750 0.841 0.701 Te
0.250 0.237 0.037 Te
0.250 0.659 0.201 Te
0.250 0.009 0.846 Np
0.250 0.509 0.654 Np
0.750 0.991 0.154 Np
0.750 0.491 0.346 Np
0.750 0.970 0.392 Pd
0.750 0.470 0.108 Pd
0.250 0.530 0.892 Pd
0.250 0.030 0.608 Pd
```